[1]
Entry from Alexandria via LeMat-Bulk: Hg4P2Br3 after structural relaxation (PBE).

Unit cell a=8.717 b=8.717 c=8.226 alpha=90.14 beta=90.14 gamma=64.33
Atoms (fractional coordinates):
Hg (0.173, 0.723, 0.501)
Hg (0.268, 0.276, 0.245)
Hg (0.276, 0.268, 0.745)
Hg (0.277, 0.827, 0.999)
Hg (0.723, 0.173, 0.001)
Hg (0.724, 0.732, 0.255)
Hg (0.732, 0.724, 0.755)
Hg (0.827, 0.277, 0.499)
P (0.139, 0.451, 0.498)
P (0.451, 0.139, 0.998)
P (0.549, 0.861, 0.002)
P (0.861, 0.549, 0.502)
Br (0.002, 0.998, 0.250)
Br (0.161, 0.590, 0.994)
Br (0.410, 0.839, 0.506)
Br (0.590, 0.161, 0.494)
Br (0.839, 0.410, 0.006)
Br (0.998, 0.002, 0.750)

Results
Symmetry   C2/c
Formation energy from raw total energies   -0.1705 eV per atom

[2]
Entry from Alexandria via LeMat-Bulk: Hg4PBr2 after structural relaxation (PBE).

Unit cell a=8.512 b=8.512 c=8.512 alpha=144.07 beta=144.07 gamma=51.73
Atoms (fractional coordinates):
Hg (0.000, 0.500, 0.500)
Hg (0.173, 0.173, 0.000)
Hg (0.500, 0.000, 0.500)
Hg (0.827, 0.827, 0.000)
P (0.000, 0.000, 0.000)
Br (0.357, 0.357, 0.000)
Br (0.643, 0.643, 0.000)

Results
Symmetry   I4/mmm
Formation energy from raw total energies   -0.0971 eV per atom

[3]
Entry from Alexandria via LeMat-Bulk: HgPBr2 after structural relaxation (PBE).

Unit cell a=6.684 b=7.209 c=7.888 alpha=63.95 beta=81.14 gamma=63.99
Atoms (fractional coordinates):
Hg (0.000, 0.000, 0.000)
Hg (0.421, 0.532, 0.013)
P (0.204, 0.303, 0.123)
P (0.962, 0.500, 0.284)
Br (0.166, 0.421, 0.529)
Br (0.446, 0.985, 0.346)
Br (0.683, 0.723, 0.869)
Br (0.800, 0.251, 0.425)

Results
Symmetry   P1
Formation energy from raw total energies   -0.2108 eV per atom
E above lowest polymorph   17 meV/atom

- Among the records above, which one has the highest formation energy from raw total energies?
  Hg4PBr2